No. 1
Material: SrIr3
Method: DFT, PBE
State: relaxed

## Properties
As for the total energy: -6.79 eV per atom. The formation energy comes out at 272 meV per atom.

a = 4.853 Å, b = 4.853 Å, c = 5.782 Å
α = 80.91°, β = 80.91°, γ = 34.38°
Fractional positions:
1 Sr 0.000 0.000 0.000
2 Ir 0.500 0.500 0.500
3 Ir 0.237 0.237 0.322
4 Ir 0.763 0.763 0.678

=====

No. 2
Material: Sr5Ir
Method: DFT, PBE
State: relaxed

## Properties
As for the total energy: -1.89 eV per atom. The value obtained for the polymorph energy (0 for the lowest one) is 1087 meV/atom. The formation energy comes out at 987 meV per atom.

a = 6.637 Å, b = 6.637 Å, c = 6.860 Å
α = 90.00°, β = 90.00°, γ = 120.00°
Fractional positions:
1 Sr 0.500 0.500 0.500
2 Sr 0.333 0.667 0.000
3 Sr 0.000 0.500 0.500
4 Sr 0.500 0.000 0.500
5 Sr 0.667 0.333 0.000
6 Ir 0.000 0.000 0.000

=====

No. 3
Material: Sr3Ir2
Method: DFT, PBE
State: relaxed

## Properties
As for the total energy: -4.53 eV per atom. The value obtained for the polymorph energy (0 for the lowest one) is 6 meV/atom. The formation energy comes out at 22 meV per atom.

a = 11.735 Å, b = 9.603 Å, c = 7.502 Å
α = 85.71°, β = 54.68°, γ = 39.60°
Fractional positions:
1 Ir 0.711 0.813 0.333
2 Ir 0.917 0.107 0.539
3 Ir 0.143 0.333 0.813
4 Ir 0.437 0.539 0.107
5 Sr 0.916 0.838 0.821
6 Sr 0.426 0.821 0.838
7 Sr 0.429 0.824 0.334
8 Sr 0.055 0.445 0.445
9 Sr 0.412 0.334 0.824
10 Sr 0.805 0.195 0.195

=====

No. 4
Material: SrIr4
Method: DFT, PBE
State: relaxed

## Properties
As for the total energy: -5.16 eV per atom. The value obtained for the polymorph energy (0 for the lowest one) is 0 meV/atom. The formation energy comes out at 2264 meV per atom.

a = 5.165 Å, b = 5.165 Å, c = 5.165 Å
α = 109.47°, β = 109.47°, γ = 109.47°
Fractional positions:
1 Ir 0.500 0.000 0.000
2 Ir 0.000 0.500 0.000
3 Ir 0.000 0.000 0.500
4 Ir 0.500 0.500 0.500
5 Sr 0.000 0.000 0.000

=====

No. 5
Material: Sr2Ir
Method: DFT, PBE
State: relaxed

## Properties
As for the total energy: -4.11 eV per atom. The formation energy comes out at -39 meV per atom.

a = 15.361 Å, b = 15.361 Å, c = 15.361 Å
α = 166.32°, β = 166.32°, γ = 19.40°
Fractional positions:
1 Sr 0.557 0.557 0.000
2 Sr 0.443 0.443 0.000
3 Sr 0.307 0.807 0.500
4 Sr 0.193 0.693 0.500
5 Ir 0.000 0.000 0.000
6 Ir 0.750 0.250 0.500

=====

No. 6
Material: SrIr3
Method: DFT, PBE
State: relaxed

## Properties
As for the total energy: -6.33 eV per atom. The formation energy comes out at 739 meV per atom.

a = 4.682 Å, b = 4.682 Å, c = 4.682 Å
α = 60.00°, β = 60.00°, γ = 60.00°
Last column: magnetic moment on the atom in μB.
Fractional positions:
1 Sr 0.750 0.750 0.750  0.01
2 Ir 0.000 0.000 0.000  0.81
3 Ir 0.500 0.500 0.500  0.81
4 Ir 0.250 0.250 0.250  0.93